Tm2TePd | GGA-PBE | relaxed

Offset from the most stable computed form in eV per atom: 0.000
Formation energy from raw total energies in eV/atom: -1.064

Unit cell a=3.953 b=23.001 c=4.422 alpha=90.00 beta=90.00 gamma=90.00
Space group Cmcm (No. 63)
Inequivalent atoms, fractional coordinates:
Tm (0.000, 0.058, 0.250) [4 per cell]
Tm (0.000, 0.337, 0.250) [4 per cell]
Te (0.000, 0.196, 0.250) [4 per cell]
Pd (0.000, 0.459, 0.250) [4 per cell]

***

Tm2TePd | GGA-PBE | relaxed

Offset from the most stable computed form in eV per atom: 0.025
Formation energy from raw total energies in eV/atom: -1.039

Unit cell a=4.1419 b=4.1419 c=21.4474 alpha=90.00 beta=90.00 gamma=120.00
Space group R3m (No. 160, hexagonal axes)
Inequivalent atoms, fractional coordinates:
Tm (0.0000, 0.0000, 0.0000) [3 per cell]
Tm (0.0000, 0.0000, 0.1947) [3 per cell]
Te (0.0000, 0.0000, 0.7646) [3 per cell]
Pd (0.0000, 0.0000, 0.5984) [3 per cell]

***

TmTe2Pd | GGA-PBE | relaxed

Offset from the most stable computed form in eV per atom: 0.000
Formation energy from raw total energies in eV/atom: -0.717

Unit cell a=4.1720 b=4.1720 c=20.7074 alpha=90.00 beta=90.00 gamma=120.00
Space group R3m (No. 160, hexagonal axes)
Inequivalent atoms, fractional coordinates:
Tm (0.0000, 0.0000, 0.0000) [3 per cell]
Te (0.0000, 0.0000, 0.2435) [3 per cell]
Te (0.0000, 0.0000, 0.4274) [3 per cell]
Pd (0.0000, 0.0000, 0.8390) [3 per cell]

***

TmTePd6 | GGA-PBE | relaxed

Offset from the most stable computed form in eV per atom: 0.198
Formation energy from raw total energies in eV/atom: -0.351

Unit cell a=5.493 b=9.398 c=5.764 alpha=90.00 beta=102.70 gamma=90.00
Space group C2/m (No. 12)
Inequivalent atoms, fractional coordinates:
Tm (0.000, 0.000, 0.000) [2 per cell]
Te (0.000, 0.000, 0.500) [2 per cell]
Pd (0.026, 0.500, 0.245) [4 per cell]
Pd (0.188, 0.244, 0.747) [8 per cell]

***

Tm2TePd | GGA-PBE | relaxed

Offset from the most stable computed form in eV per atom: 0.036
Formation energy from raw total energies in eV/atom: -1.029

Unit cell a=4.0834 b=4.0834 c=21.8418 alpha=90.00 beta=90.00 gamma=120.00
Space group R-3m (No. 166, hexagonal axes)
Inequivalent atoms, fractional coordinates:
Tm (0.0000, 0.0000, 0.2380) [6 per cell]
Te (0.0000, 0.0000, 0.0000) [3 per cell]
Pd (0.0000, 0.0000, 0.5000) [3 per cell]

***

TmTe2Pd7 | GGA-PBE | relaxed

Formation energy from raw total energies in eV/atom: -0.530

Unit cell a=4.168 b=4.168 c=21.934 alpha=90.00 beta=90.00 gamma=90.00
Space group I4/mmm (No. 139)
Inequivalent atoms, fractional coordinates:
Tm (0.000, 0.000, 0.000) [2 per cell]
Te (0.000, 0.000, 0.330) [4 per cell]
Pd (0.000, 0.000, 0.500) [2 per cell]
Pd (0.000, 0.500, 0.091) [8 per cell]
Pd (0.000, 0.500, 0.250) [4 per cell]

***

Tm2TePd | GGA-PBE | relaxed

Offset from the most stable computed form in eV per atom: 0.167
Formation energy from raw total energies in eV/atom: -0.897

Unit cell a=3.689 b=3.689 c=6.978 alpha=90.00 beta=90.00 gamma=90.00
Space group P4/mmm (No. 123)
Inequivalent atoms, fractional coordinates:
Tm (0.000, 0.000, 0.231) [2 per cell]
Te (0.500, 0.500, 0.500) [1 per cell]
Pd (0.500, 0.500, 0.000) [1 per cell]

***

Tm3Te2Pd | GGA-PBE | relaxed

Offset from the most stable computed form in eV per atom: 0.134
Formation energy from raw total energies in eV/atom: -0.959

Unit cell a=6.009 b=14.348 c=4.202 alpha=90.00 beta=90.00 gamma=90.00
Space group Cmmm (No. 65)
Inequivalent atoms, fractional coordinates:
Tm (0.000, 0.000, 0.000) [2 per cell]
Tm (0.000, 0.376, 0.500) [4 per cell]
Te (0.000, 0.159, 0.500) [4 per cell]
Pd (0.000, 0.500, 0.000) [2 per cell]